5
Lattice="4.5685 0.0000 0.0000 0.0000 4.5685 0.0000 0.0000 0.0000 4.5685" Properties=species:S:1:pos:R:3 comment="NaRe3Sn, optimized geometry, DFT PBE" e_above_lowest_polymorph_mev_per_atom=156 magnetic_moment_mub_per_cell=5.2 final_energy_ev_per_atom=-5.66 volume_a3_per_atom=19.07 pbc="T T T"
Na 0.0000 0.0000 0.0000
Re 0.0000 0.0000 2.2842
Re 0.0000 2.2842 0.0000
Re 2.2842 0.0000 0.0000
Sn 2.2842 2.2842 2.2842